# 1
4
Lattice="3.760 -4.770 0.000 3.760 4.770 0.000 -3.336 0.000 3.961" Properties=species:S:1:pos:R:3 comment="BaWBr2 (PBE-GGA, relaxed)" e_above_lowest_polymorph_ev_per_atom=0.245 pbc="T T T"
Ba 0.000 0.000 0.000
W 3.760 0.000 0.000
Br 0.212 2.385 1.981
Br 0.212 -2.385 1.981

=====

# 2
5
Lattice="-2.246 2.246 5.432 2.246 -2.246 5.432 2.246 2.246 -5.432" Properties=species:S:1:pos:R:3 comment="Cd2GaSi2 (PBE-GGA, relaxed)" energy_ev_per_atom=-2.84 pbc="T T T"
Cd 2.246 0.000 2.716
Cd 0.000 2.246 2.716
Ga 0.000 0.000 0.000
Si 0.000 0.000 4.291
Si 0.000 0.000 6.572

=====

| no. | DOS(E_F) (states/eV/cell) |
| --- | --- |
| 1 | 1.00 |
| 2 | 1.19 |